A plane-wave DFT calculation with PBE-GGA was carried out for crystalline Mg2SiTe at its relaxed geometry.

Unit cell a=4.5690 b=4.8442 c=7.9646 alpha=90.00 beta=90.00 gamma=90.00
With the nearest neighbours (Å) after each atom.
Space group Cmmm (No. 65)
One atom of each set of equivalent atoms:
1 Mg 0.0000 0.0000 0.2138 (multiplicity 4)  4 Si 2.85-2.96
2 Si 0.0000 0.5000 0.0000 (multiplicity 2)  8 Mg 2.85-2.96
3 Te 0.0000 0.5000 0.5000 (multiplicity 2)  8 Mg 3.23-3.33, 4 Te 3.33

Volume: 22.04 Å³/atom
Distance to the lowest polymorph of the same formula: 0.124 eV/atom